Material: CeEr2Ir2
Method: DFT, GGA-PBE
State: optimized geometry

## Properties
Size of the total moment: 0.013 μB/atom
Crystal system: monoclinic
Final energy: -7.287 eV per atom
DFT formation energy: -0.731 eV per atom

a = 5.5771 Å, b = 4.3378 Å, c = 10.3185 Å
α = 90.00°, β = 95.99°, γ = 90.00°
Space group P2_1/m (No. 11)
Symmetry-distinct sites (fractional):
Ce (0.1010, 0.2500, 0.2936)
Er (0.2531, 0.2500, 0.9687)
Er (0.3875, 0.2500, 0.6188)
Ir (0.1608, 0.7500, 0.4705)
Ir (0.2591, 0.7500, 0.1431)

Material: AlIn16Ga12
Method: DFT, GGA-PBE
State: optimized geometry

## Properties
Size of the total moment: 0.000 μB/atom
Crystal system: monoclinic
Final energy: -2.852 eV per atom
DFT formation energy: 0.041 eV per atom

a = 11.3946 Å, b = 14.4421 Å, c = 9.1610 Å
α = 90.00°, β = 114.11°, γ = 90.00°
Space group Cm (No. 8)
Symmetry-distinct sites (fractional):
Al (0.0000, 0.0000, 0.0000)
In (0.0040, 0.2978, 0.2786)
In (0.1030, 0.5000, 0.9411)
In (0.1074, 0.5000, 0.3111)
In (0.1434, 0.1892, 0.0276)
In (0.1521, 0.1954, 0.6540)
In (0.3045, 0.3649, 0.2806)
In (0.3082, 0.3502, 0.9485)
In (0.3141, 0.0000, 0.2523)
In (0.3180, 0.0000, 0.6219)
In (0.3535, 0.3860, 0.6448)
Ga (0.0101, 0.0000, 0.5021)
Ga (0.0706, 0.4050, 0.6011)
Ga (0.0763, 0.0997, 0.2868)
Ga (0.1455, 0.0000, 0.8311)
Ga (0.3162, 0.1859, 0.4439)
Ga (0.3756, 0.1029, 0.9740)
Ga (0.4592, 0.1940, 0.7757)

Material: Ca5GaHg4
Method: DFT, GGA-PBE
State: optimized geometry

## Properties
Size of the total moment: 0.000 μB/atom
Crystal system: tetragonal
Final energy: -1.957 eV per atom
DFT formation energy: -0.533 eV per atom

a = 3.7649 Å, b = 3.7649 Å, c = 18.8807 Å
α = 90.00°, β = 90.00°, γ = 90.00°
Space group P4/mmm (No. 123)
Symmetry-distinct sites (fractional):
Ca (0.0000, 0.0000, 0.0000)
Ca (0.0000, 0.0000, 0.2037)
Ca (0.0000, 0.0000, 0.4053)
Ga (0.5000, 0.5000, 0.5000)
Hg (0.5000, 0.5000, 0.1012)
Hg (0.5000, 0.5000, 0.3055)

Material: RbNaAcI5
Method: DFT, GGA-PBE
State: optimized geometry

## Properties
Size of the total moment: 0.000 μB/atom
Raw formation energy: -1.44 eV per atom
Crystal system: monoclinic
Final energy: -3.206 eV per atom

a = 10.3320 Å, b = 14.9955 Å, c = 12.0715 Å
α = 90.00°, β = 111.30°, γ = 90.00°
Space group C2/c (No. 15)
Symmetry-distinct sites (fractional):
Rb (0.0000, 0.1410, 0.2500)
Na (0.0000, 0.1855, 0.7500)
Ac (0.0000, 0.5000, 0.0000)
I (0.0000, 0.4081, 0.2500)
I (0.1248, 0.3067, 0.6115)
I (0.1786, 0.0579, 0.9474)

Material: SnPd2F
Method: DFT, GGA-PBE
State: optimized geometry

## Properties
Size of the total moment: 0.000 μB/atom
Raw formation energy: -0.59 eV per atom
Crystal system: tetragonal
Final energy: -4.658 eV per atom
Energy relative to the lowest polymorph listed for this composition: 92 meV per atom

a = 6.9457 Å, b = 6.9457 Å, c = 5.4813 Å
α = 90.00°, β = 90.00°, γ = 90.00°
Space group I-42d (No. 122)
Symmetry-distinct sites (fractional):
Sn (0.0000, 0.0000, 0.0000)
Pd (0.2282, 0.2500, 0.6250)
F (0.0000, 0.0000, 0.5000)